No. 1
# ZnTc5

A PBEsol-optimized structure of ZnTc5 (SCAN, Alexandria).

abc: 4.3759 4.6647 4.6647
angles: 120.00 90.00 90.00
With the nearest neighbours (Å) after each atom.
Fractional coordinates of all 6 atoms:
Zn (0.5000, 0.0000, 0.0000)  12 Tc 2.67-2.69
Tc (0.0000, 0.3266, 0.3266)  10 Tc 2.64-2.72, 2 Zn 2.67
Tc (0.0000, 0.6734, 0.0000)  10 Tc 2.64-2.72, 2 Zn 2.67
Tc (0.0000, 0.0000, 0.6734)  10 Tc 2.64-2.72, 2 Zn 2.67
Tc (0.5000, 0.3333, 0.6667)  3 Zn 2.69, 9 Tc 2.69
Tc (0.5000, 0.6667, 0.3333)  3 Zn 2.69, 9 Tc 2.69

Calculated values
Space-group type: No. 189
Fermi-level density of states in states/eV per atom: 0.72
Energy above the lowest structure with this stoichiometry in meV/atom: 0
Formation energy from the elements in eV per atom: -0.01
E in eV for the cell shown: -188.9

No. 2
# NbAlFe2Hg

A PBEsol-optimized structure of NbAlFe2Hg (SCAN, Alexandria).

abc: 4.3223 4.3223 4.6220
angles: 90.00 90.00 90.00
With the nearest neighbours (Å) after each atom.
Fractional coordinates of all 5 atoms:
Nb (0.5000, 0.5000, 0.5000)  4 Hg 3.06, 8 Fe 3.16
Al (0.0000, 0.0000, 0.0000)  4 Fe 2.16, 2 Hg 2.31
Hg (0.0000, 0.0000, 0.5000)  2 Al 2.31
Fe (0.0000, 0.5000, 0.0000)  2 Al 2.16
Fe (0.5000, 0.0000, 0.0000)  2 Al 2.16

Calculated values
Space-group type: No. 123
Fermi-level density of states in states/eV per atom: 0.46
Formation energy from the elements in eV per atom: 0.94
E in eV for the cell shown: -140.6

No. 3
# Hf2SbP

A PBEsol-optimized structure of Hf2SbP (SCAN, Alexandria).

abc: 3.7622 3.7622 13.0412
angles: 90.00 90.00 120.00
With the nearest neighbours (Å) after each atom.
Fractional coordinates of all 8 atoms:
Sb (0.3333, 0.6667, 0.7500)  6 Hf 2.90
Sb (0.6667, 0.3333, 0.2500)  6 Hf 2.90
Hf (0.6667, 0.3333, 0.6023)  3 P 2.55
Hf (0.3333, 0.6667, 0.1023)  3 P 2.55
Hf (0.6667, 0.3333, 0.8977)  3 P 2.55
Hf (0.3333, 0.6667, 0.3977)  3 P 2.55
P (0.0000, 0.0000, 0.5000)  6 Hf 2.55
P (0.0000, 0.0000, 0.0000)  6 Hf 2.55

Calculated values
Space-group type: No. 194
Fermi-level density of states in states/eV per atom: 0.23
E in eV for the cell shown: -354.4

No. 4
# TmMg3

A PBEsol-optimized structure of TmMg3 (SCAN, Alexandria).

abc: 5.1235 6.5673 6.5673
angles: 120.00 90.00 90.00
With the nearest neighbours (Å) after each atom.
Fractional coordinates of all 8 atoms:
Mg (0.2500, 0.6714, 0.8357)  8 Mg 3.17-3.33, 4 Tm 3.20-3.28
Mg (0.2500, 0.1643, 0.8357)  8 Mg 3.17-3.33, 4 Tm 3.20-3.28
Mg (0.2500, 0.1643, 0.3286)  8 Mg 3.17-3.33, 4 Tm 3.20-3.28
Mg (0.7500, 0.8357, 0.6714)  8 Mg 3.17-3.33, 4 Tm 3.20-3.28
Mg (0.7500, 0.8357, 0.1643)  8 Mg 3.17-3.33, 4 Tm 3.20-3.28
Mg (0.7500, 0.3286, 0.1643)  8 Mg 3.17-3.33, 4 Tm 3.20-3.28
Tm (0.2500, 0.6667, 0.3333)  12 Mg 3.20-3.28
Tm (0.7500, 0.3333, 0.6667)  12 Mg 3.20-3.28

Calculated values
Space-group type: No. 194
Fermi-level density of states in states/eV per atom: 0.78
Formation energy from the elements in eV per atom: -0.03
E in eV for the cell shown: -133.7